No. 1
A plane-wave DFT calculation with PBE was carried out for AcSm2TmTl2 after structural relaxation.

Unit cell a=4.880 b=8.520 c=9.499 alpha=90.00 beta=90.00 gamma=90.00
Each line ends with the local moment (μB).
Positions (direct):
Sm: 0.000 0.868 0.824  0.19
Sm: 0.000 0.368 0.176  0.19
Sm: 0.500 0.533 0.921  0.32
Sm: 0.500 0.033 0.079  0.32
Tl: 0.000 0.239 0.874  -0.01
Tl: 0.000 0.739 0.126  -0.01
Tl: 0.500 0.774 0.625  -0.01
Tl: 0.500 0.274 0.375  -0.01
Ac: 0.000 0.484 0.583  0.13
Ac: 0.000 0.984 0.417  0.13
Tm: 0.500 0.649 0.309  0.26
Tm: 0.500 0.149 0.691  0.26

Results
As for the energy of formation from the pure elements: -141 kJ/mol of formula units. The spin magnetization comes out at 1.9 μB per formula unit.


No. 2
A plane-wave DFT calculation with PBE was carried out for LiCr2 after structural relaxation.

Unit cell a=3.854 b=5.323 c=7.715 alpha=90.00 beta=90.00 gamma=90.00
Each line ends with the local moment (μB).
Positions (direct):
Cr: 0.750 0.364 0.200  2.43
Cr: 0.750 0.884 0.626  -2.45
Cr: 0.750 0.864 0.300  2.43
Cr: 0.250 0.136 0.700  2.43
Cr: 0.750 0.384 0.874  -2.45
Cr: 0.250 0.636 0.800  2.43
Cr: 0.250 0.616 0.126  -2.45
Cr: 0.250 0.116 0.374  -2.45
Li: 0.750 0.384 0.540  -0.01
Li: 0.250 0.116 0.040  -0.01
Li: 0.750 0.884 0.960  -0.01
Li: 0.250 0.616 0.460  -0.01

Results
As for the energy of formation from the pure elements: 135 kJ/mol of formula units. The spin magnetization comes out at 0.1 μB per formula unit. The value obtained for the energy above the most stable polymorph in this dataset is 48.3 meV per atom.


No. 3
A plane-wave DFT calculation with PBE was carried out for PmPr12Tm7 after structural relaxation.

Unit cell a=6.261 b=11.558 c=11.558 alpha=116.81 beta=100.40 gamma=100.40
Positions (direct):
Tm: 0.500 0.000 0.000
Tm: 0.877 0.002 0.245
Tm: 0.124 0.757 0.002
Tm: 0.123 0.998 0.755
Tm: 0.876 0.243 0.998
Tm: 0.632 0.755 0.757
Tm: 0.368 0.245 0.243
Pr: 0.911 0.413 0.824
Pr: 0.089 0.587 0.176
Pr: 0.069 0.646 0.648
Pr: 0.087 0.176 0.589
Pr: 0.501 0.589 0.413
Pr: 0.578 0.998 0.646
Pr: 0.580 0.648 0.002
Pr: 0.499 0.411 0.587
Pr: 0.422 0.002 0.354
Pr: 0.931 0.354 0.352
Pr: 0.913 0.824 0.411
Pr: 0.420 0.352 0.998
Pm: 0.000 0.000 0.000

Results
As for the energy of formation from the pure elements: 461 kJ/mol of formula units. The spin magnetization comes out at 0.0 μB per formula unit. The value obtained for the energy above the most stable polymorph in this dataset is 94.6 meV per atom.


No. 4
A plane-wave DFT calculation with PBE was carried out for Mn2VTc after structural relaxation.

Unit cell a=6.584 b=6.584 c=5.309 alpha=51.68 beta=51.68 gamma=90.00
Each line ends with the local moment (μB).
Positions (direct):
Mn: 0.128 0.625 0.250  2.16
Mn: 0.875 0.872 0.750  2.16
Mn: 0.375 0.378 0.750  2.16
Mn: 0.622 0.125 0.250  2.16
V: 0.250 0.750 0.500  -0.78
V: 0.500 0.500 0.000  -0.78
Tc: 0.750 0.250 0.500  -0.11
Tc: 0.000 0.000 0.000  -0.11

Results
As for the energy of formation from the pure elements: 193 kJ/mol of formula units. The spin magnetization comes out at 3.5 μB per formula unit. The value obtained for the energy above the most stable polymorph in this dataset is 567.5 meV per atom.


No. 5
A plane-wave DFT calculation with PBE was carried out for Sr5Ca6 after structural relaxation.

Unit cell a=11.674 b=10.411 c=6.450 alpha=71.90 beta=56.36 gamma=55.90
Positions (direct):
Ca: 0.938 0.738 0.192
Ca: 0.806 0.000 0.693
Ca: 0.062 0.262 0.808
Ca: 0.194 0.000 0.307
Ca: 0.323 0.738 0.808
Ca: 0.677 0.262 0.192
Sr: 0.347 0.307 0.000
Sr: 0.500 0.000 0.500
Sr: 0.653 0.693 0.000
Sr: 0.791 0.417 0.500
Sr: 0.209 0.583 0.500

Results
As for the energy of formation from the pure elements: 98 kJ/mol of formula units. The spin magnetization comes out at 0.0 μB per formula unit. The value obtained for the energy above the most stable polymorph in this dataset is 0.0 meV per atom.


No. 6
A plane-wave DFT calculation with PBE was carried out for PaFe3P3 after structural relaxation.

Unit cell a=3.953 b=7.690 c=7.690 alpha=120.00 beta=90.00 gamma=90.00
Each line ends with the local moment (μB).
Positions (direct):
Pa: 0.250 0.667 0.333  0.07
Pa: 0.750 0.333 0.667  0.07
P: 0.750 0.914 0.291  0.00
P: 0.250 0.291 0.377  0.00
P: 0.750 0.377 0.086  0.00
P: 0.750 0.709 0.623  0.00
P: 0.250 0.086 0.709  0.00
P: 0.250 0.623 0.914  0.00
Fe: 0.250 0.834 0.781  0.31
Fe: 0.750 0.053 0.834  0.31
Fe: 0.250 0.219 0.053  0.31
Fe: 0.750 0.781 0.947  0.31
Fe: 0.250 0.947 0.166  0.31
Fe: 0.750 0.166 0.219  0.31

Results
As for the energy of formation from the pure elements: -428 kJ/mol of formula units. The spin magnetization comes out at 1.0 μB per formula unit. The value obtained for the energy above the most stable polymorph in this dataset is 0.0 meV per atom.


No. 7
A plane-wave DFT calculation with PBE was carried out for TbNd2Sm3Te6 after structural relaxation.

Unit cell a=4.427 b=8.950 c=9.939 alpha=102.68 beta=102.87 gamma=90.00
Positions (direct):
Nd: 0.831 0.664 0.663
Nd: 0.169 0.336 0.337
Te: 0.663 0.078 0.327
Te: 0.998 0.245 0.996
Te: 0.002 0.755 0.004
Te: 0.665 0.585 0.329
Te: 0.335 0.415 0.671
Te: 0.337 0.922 0.673
Sm: 0.171 0.834 0.341
Sm: 0.829 0.166 0.659
Sm: 0.500 0.500 0.000
Tb: 0.500 0.000 0.000

Results
The spin magnetization comes out at 0.0 μB per formula unit. As for the formation energy without anion corrections: -1.38 eV/atom.


No. 8
A plane-wave DFT calculation with PBE was carried out for MnSi2SbSe after structural relaxation.

Unit cell a=5.204 b=4.826 c=5.204 alpha=90.00 beta=90.00 gamma=90.00
Each line ends with the local moment (μB).
Positions (direct):
Mn: 0.000 0.500 0.000  0.07
Si: 0.000 0.000 0.500  0.01
Si: 0.500 0.000 0.000  0.01
Sb: 0.000 0.000 0.000  -0.01
Se: 0.500 0.500 0.500  0.01

Results
The spin magnetization comes out at 0.2 μB per formula unit. As for the formation energy without anion corrections: 1.51 eV/atom.


no.,uncorrected energy (eV per cell)
1,-48.429
2,-79.052
3,-88.629
4,-71.641
5,-19.402
6,-111.104
7,-63.787
8,-20.069